Computed, not measured: an optimized crystal structure of PSeO2 at the PBE level of DFT.

Cell: 4.033 4.033 4.033 Å, 60.00 60.00 60.00°
Sites, in units of the cell vectors:
P1 0.000 0.000 0.000
Se1 0.500 0.500 0.500
O1 0.250 0.250 0.250
O2 0.750 0.750 0.750

Computed properties:
energy relative to the elements, uncorrected	0.736	eV/atom
density of states at the Fermi level	2.32	states/eV/cell
M_tot	0.00	μB per formula unit
V	11.6	A^3/atom

---

Computed, not measured: an optimized crystal structure of LaInIrPd at the PBE level of DFT.

Cell: 4.909 4.909 4.909 Å, 60.00 60.00 60.00°
Sites, in units of the cell vectors:
La1 0.000 0.000 0.000
In1 0.500 0.500 0.500
Ir1 0.250 0.250 0.250
Pd1 0.750 0.750 0.750

Computed properties:
density of states at the Fermi level	2.46	states/eV/cell
energy relative to the elements	-0.520	eV per atom
M_tot	0.00	μB per formula unit
V	20.9	A^3/atom